# K3PrTm2S6

A geometry-optimized K3PrTm2S6 structure (PBE, Alexandria via LeMat-Bulk).

**Total energy**: -5.347 eV per atom

CIF file:
```
data_K3PrTm2S6
_chemical_formula_sum 'K6 Pr2 Tm4 S12'
_cell_length_a 7.061
_cell_length_b 12.231
_cell_length_c 7.745
_cell_angle_alpha 90.00
_cell_angle_beta 107.73
_cell_angle_gamma 90.00
_space_group_name_H-M_alt 'C 1 2/m 1'
_space_group_IT_number 12
loop_
_space_group_symop_operation_xyz
'x,y,z'
'-x,-y,-z'
'-x,y,-z'
'x,-y,z'
'x+1/2,y+1/2,z'
'-x+1/2,-y+1/2,-z'
'-x+1/2,y+1/2,-z'
'x+1/2,-y+1/2,z'
loop_
_atom_site_label
_atom_site_type_symbol
_atom_site_fract_x
_atom_site_fract_y
_atom_site_fract_z
_atom_site_occupancy
K1 K 0.000 0.000 0.000 1
K2 K 0.000 0.335 0.000 1
Pr1 Pr 0.000 0.500 0.500 1
Tm1 Tm 0.000 0.167 0.500 1
S1 S 0.221 0.000 0.702 1
S2 S 0.241 0.327 0.702 1
```

# K4PrU3S12

A geometry-optimized K4PrU3S12 structure (PBE, Alexandria via LeMat-Bulk).

**Total energy**: -5.976 eV per atom

CIF file:
```
data_K4PrU3S12
_chemical_formula_sum 'K8 Pr2 U6 S24'
_cell_length_a 10.500
_cell_length_b 10.500
_cell_length_c 10.500
_cell_angle_alpha 90.00
_cell_angle_beta 90.00
_cell_angle_gamma 90.00
_space_group_name_H-M_alt 'I m -3 m'
_space_group_IT_number 229
_space_group_name_Hall '-I 4 2 3'
loop_
_atom_site_label
_atom_site_type_symbol
_atom_site_fract_x
_atom_site_fract_y
_atom_site_fract_z
_atom_site_occupancy
K1 K 0.250 0.250 0.250 1
Pr1 Pr 0.000 0.000 0.000 1
U1 U 0.000 0.000 0.500 1
S1 S 0.000 0.000 0.264 1
S2 S 0.000 0.250 0.500 1
```

# K3PrU2S6

A geometry-optimized K3PrU2S6 structure (PBE, Alexandria via LeMat-Bulk).

**Total energy**: -6.146 eV per atom

CIF file:
```
data_K3PrU2S6
_chemical_formula_sum 'K6 Pr2 U4 S12'
_cell_length_a 7.111
_cell_length_b 12.318
_cell_length_c 7.797
_cell_angle_alpha 90.00
_cell_angle_beta 107.73
_cell_angle_gamma 90.00
_space_group_name_H-M_alt 'C 1 2/m 1'
_space_group_IT_number 12
loop_
_space_group_symop_operation_xyz
'x,y,z'
'-x,-y,-z'
'-x,y,-z'
'x,-y,z'
'x+1/2,y+1/2,z'
'-x+1/2,-y+1/2,-z'
'-x+1/2,y+1/2,-z'
'x+1/2,-y+1/2,z'
loop_
_atom_site_label
_atom_site_type_symbol
_atom_site_fract_x
_atom_site_fract_y
_atom_site_fract_z
_atom_site_occupancy
K1 K 0.000 0.000 0.000 1
K2 K 0.000 0.336 0.000 1
Pr1 Pr 0.000 0.500 0.500 1
U1 U 0.000 0.167 0.500 1
S1 S 0.223 0.000 0.706 1
S2 S 0.241 0.327 0.706 1
```

# K4Pr3US8

A geometry-optimized K4Pr3US8 structure (PBE, Alexandria via LeMat-Bulk).

**Total energy**: -5.654 eV per atom

CIF file:
```
data_K4Pr3US8
_chemical_formula_sum 'K12 Pr9 U3 S24'
_cell_length_a 8.3846
_cell_length_b 8.3846
_cell_length_c 22.2020
_cell_angle_alpha 90.00
_cell_angle_beta 90.00
_cell_angle_gamma 120.00
_space_group_name_H-M_alt 'R -3 m'
_space_group_IT_number 166
_space_group_name_Hall '-R 3 2"'
loop_
_atom_site_label
_atom_site_type_symbol
_atom_site_fract_x
_atom_site_fract_y
_atom_site_fract_z
_atom_site_occupancy
K1 K 0.0000 0.0000 0.0000 1
K2 K 0.0000 0.5000 0.0000 1
Pr1 Pr 0.0000 0.5000 0.5000 1
U1 U 0.0000 0.0000 0.5000 1
S1 S 0.0000 0.0000 0.2371 1
S2 S 0.0098 0.5049 0.2355 1
```

# K2PrUS6

A geometry-optimized K2PrUS6 structure (PBE, Alexandria via LeMat-Bulk).

**Total energy**: -5.602 eV per atom

CIF file:
```
data_K2PrUS6
_chemical_formula_sum 'K4 Pr2 U2 S12'
_cell_length_a 7.449
_cell_length_b 7.502
_cell_length_c 12.957
_cell_angle_alpha 90.00
_cell_angle_beta 124.92
_cell_angle_gamma 90.00
_space_group_name_H-M_alt 'P 1 21/c 1'
_space_group_IT_number 14
loop_
_space_group_symop_operation_xyz
'x,y,z'
'-x,-y,-z'
'-x,y+1/2,-z+1/2'
'x,-y+1/2,z+1/2'
loop_
_atom_site_label
_atom_site_type_symbol
_atom_site_fract_x
_atom_site_fract_y
_atom_site_fract_z
_atom_site_occupancy
K1 K 0.245 0.025 0.250 1
Pr1 Pr 0.500 0.000 0.000 1
U1 U 0.000 0.000 0.500 1
S1 S 0.178 0.229 0.976 1
S2 S 0.250 0.702 0.978 1
S3 S 0.281 0.009 0.737 1
```

# K3Pr3US8

A geometry-optimized K3Pr3US8 structure (PBE, Alexandria via LeMat-Bulk).

**Total energy**: -5.877 eV per atom

CIF file:
```
data_K3Pr3US8
_chemical_formula_sum 'K9 Pr9 U3 S24'
_cell_length_a 8.3605
_cell_length_b 8.3605
_cell_length_c 22.4654
_cell_angle_alpha 90.00
_cell_angle_beta 90.00
_cell_angle_gamma 120.00
_space_group_name_H-M_alt 'R -3 m'
_space_group_IT_number 166
_space_group_name_Hall '-R 3 2"'
loop_
_atom_site_label
_atom_site_type_symbol
_atom_site_fract_x
_atom_site_fract_y
_atom_site_fract_z
_atom_site_occupancy
K1 K 0.0000 0.5000 0.0000 1
Pr1 Pr 0.0000 0.5000 0.5000 1
U1 U 0.0000 0.0000 0.5000 1
S1 S 0.0000 0.0000 0.2362 1
S2 S 0.0174 0.5087 0.2322 1
```